# 1
Density functional theory data (PBE) for an optimized crystal structure of TiAlRe2.

a b c (Å): 3.9223 3.9223 3.9084
angles (deg): 90.00 90.00 90.00
Closest atoms and distances in Å follow each position.
Element x y z (fractional)
Ti  0.0000  0.0000  0.0000  8 Re 2.77, 4 Al 2.77
Al  0.5000  0.5000  0.0000  8 Re 2.77, 4 Ti 2.77
Re  0.0000  0.5000  0.5000  4 Al 2.77, 4 Ti 2.77, 4 Re 2.77
Re  0.5000  0.0000  0.5000  4 Al 2.77, 4 Ti 2.77, 4 Re 2.77

The total energy is -9.291 eV per atom. The total moment comes out at 0.00 μB per formula unit. The volume is 60 Å³/cell.

# 2
Density functional theory data (PBE) for an optimized crystal structure of Sr2ZnCuAu6.

a b c (Å): 7.0142 7.0142 7.0142
angles (deg): 60.00 60.00 60.00
Closest atoms and distances in Å follow each position.
Element x y z (fractional)
Sr  0.2500  0.2500  0.2500  12 Au 3.51
Sr  0.7500  0.7500  0.7500  12 Au 3.51
Zn  0.0000  0.0000  0.0000  6 Au 2.49
Cu  0.5000  0.5000  0.5000  6 Au 2.46
Au  0.2515  0.2515  0.7485  1 Cu 2.46, 1 Zn 2.49
Au  0.2515  0.7485  0.2515  1 Cu 2.46, 1 Zn 2.49
Au  0.2515  0.7485  0.7485  1 Cu 2.46, 1 Zn 2.49
Au  0.7485  0.2515  0.2515  1 Cu 2.46, 1 Zn 2.49
Au  0.7485  0.2515  0.7485  1 Cu 2.46, 1 Zn 2.49
Au  0.7485  0.7485  0.2515  1 Cu 2.46, 1 Zn 2.49

The total energy is -3.166 eV per atom. The total moment comes out at 0.00 μB per formula unit. The volume is 244 Å³/cell.

# 3
Density functional theory data (PBE) for an optimized crystal structure of Pr2TmGe3Ir4.

a b c (Å): 4.2109 4.2109 11.2103
angles (deg): 90.00 90.00 90.00
Closest atoms and distances in Å follow each position.
Element x y z (fractional)
Pr  0.0000  0.5000  0.2323  4 Ge 3.22, 8 Ir 3.23-3.35
Pr  0.5000  0.0000  0.7677  4 Ge 3.22, 8 Ir 3.23-3.35
Tm  0.0000  0.0000  0.5000  4 Ir 2.74, 4 Ge 2.98
Ge  0.0000  0.5000  0.8779  5 Ir 2.49-2.51
Ge  0.5000  0.0000  0.1221  5 Ir 2.49-2.51
Ge  0.5000  0.5000  0.5000  4 Ir 2.74, 4 Tm 2.98
Ir  0.0000  0.0000  0.0000  4 Ge 2.51
Ir  0.0000  0.5000  0.6562  3 Ge 2.49-2.74, 2 Tm 2.74
Ir  0.5000  0.0000  0.3438  3 Ge 2.49-2.74, 2 Tm 2.74
Ir  0.5000  0.5000  0.0000  4 Ge 2.51

The total energy is -7.131 eV per atom. The total moment comes out at 0.00 μB per formula unit. The volume is 199 Å³/cell.

# 4
Density functional theory data (PBE) for an optimized crystal structure of Tb4YGa5.

a b c (Å): 3.5813 3.5813 17.9593
angles (deg): 90.00 90.00 90.00
Closest atoms and distances in Å follow each position.
Element x y z (fractional)
Tb  0.0000  0.0000  0.1000  8 Ga 3.10
Tb  0.0000  0.0000  0.3002  8 Ga 3.11
Tb  0.0000  0.0000  0.6998  8 Ga 3.11
Tb  0.0000  0.0000  0.9000  8 Ga 3.10
Y  0.0000  0.0000  0.5000  8 Ga 3.10
Ga  0.5000  0.5000  0.0000  8 Tb 3.10
Ga  0.5000  0.5000  0.2000  8 Tb 3.10-3.11
Ga  0.5000  0.5000  0.4004  4 Y 3.10, 4 Tb 3.11
Ga  0.5000  0.5000  0.5996  4 Y 3.10, 4 Tb 3.11
Ga  0.5000  0.5000  0.8000  8 Tb 3.10-3.11

The total energy is -4.601 eV per atom. The total moment comes out at 0.00 μB per formula unit. The volume is 230 Å³/cell.

# 5
Density functional theory data (PBE) for an optimized crystal structure of BaHf.

a b c (Å): 15.6966 3.4822 8.4264
angles (deg): 90.00 90.00 90.00
Closest atoms and distances in Å follow each position.
Element x y z (fractional)
Ba  0.0000  0.0009  0.0000  2 Ba 3.48, 5 Hf 3.57-3.73
Ba  0.2166  0.0107  0.6695  2 Ba 3.48, 5 Hf 3.49-3.81
Ba  0.2834  0.9893  0.1695  2 Ba 3.48, 5 Hf 3.49-3.81
Ba  0.5000  0.9991  0.5000  2 Ba 3.48, 5 Hf 3.57-3.73
Ba  0.7166  0.9893  0.1695  2 Ba 3.48, 5 Hf 3.49-3.81
Ba  0.7834  0.0107  0.6695  2 Ba 3.48, 5 Hf 3.49-3.81
Hf  0.0000  0.0064  0.5761  4 Hf 2.96
Hf  0.0926  0.5051  0.3504  3 Hf 2.91-2.96
Hf  0.4074  0.4949  0.8504  3 Hf 2.91-2.96
Hf  0.5000  0.9936  0.0761  4 Hf 2.96
Hf  0.5926  0.4949  0.8504  3 Hf 2.91-2.96
Hf  0.9074  0.5051  0.3504  3 Hf 2.91-2.96

The excess energy over the best structure of this formula in the dataset comes out at 0 meV per atom. The total moment comes out at 0.00 μB per formula unit. The volume is 461 Å³/cell.

# 6
Density functional theory data (PBE) for an optimized crystal structure of Pm3AuS6.

a b c (Å): 8.8192 8.8192 6.7255
angles (deg): 90.00 90.00 105.33
Closest atoms and distances in Å follow each position.
Element x y z (fractional)
Pm  0.0929  0.9071  0.5000  7 S 2.80-2.93
Pm  0.2230  0.4145  0.4019  7 S 2.76-3.04
Pm  0.4145  0.2230  0.9019  7 S 2.76-3.04
Pm  0.5855  0.7770  0.4019  7 S 2.76-3.04
Pm  0.7770  0.5855  0.9019  7 S 2.76-3.04
Pm  0.9071  0.0929  0.0000  7 S 2.80-2.93
Au  0.2549  0.7451  0.9208  3 S 2.31-2.39
Au  0.7451  0.2549  0.4208  3 S 2.31-2.39
S  0.0713  0.6007  0.6840  1 Au 2.39
S  0.1344  0.1948  0.7032  4 Pm 2.76-2.82
S  0.1948  0.1344  0.2032  4 Pm 2.76-2.82
S  0.2651  0.7349  0.2637  1 Au 2.31
S  0.3993  0.9287  0.6840  1 Au 2.39
S  0.4948  0.5052  0.6493  4 Pm 2.85-2.94
S  0.5052  0.4948  0.1493  4 Pm 2.85-2.94
S  0.6007  0.0713  0.1840  1 Au 2.39
S  0.7349  0.2651  0.7637  1 Au 2.31
S  0.8052  0.8656  0.7032  4 Pm 2.76-2.82
S  0.8656  0.8052  0.2032  4 Pm 2.76-2.82
S  0.9287  0.3993  0.1840  1 Au 2.39

As for the formation energy (no corrections): -14.12 eV per formula unit. The total moment comes out at 0.38 μB per formula unit. The volume is 504 Å³/cell.

# 7
Density functional theory data (PBE) for an optimized crystal structure of Ta2CrTeC.

a b c (Å): 5.0431 5.0431 4.5410
angles (deg): 90.00 90.00 90.00
Closest atoms and distances in Å follow each position.
Element x y z (fractional)
Ta  0.0000  0.5000  0.0000  2 Te 2.52
Ta  0.5000  0.0000  0.0000  2 Te 2.52
Cr  0.0000  0.0000  0.5000  2 Te 2.27
Te  0.0000  0.0000  0.0000  2 Cr 2.27, 4 Ta 2.52
C  0.5000  0.5000  0.5000  8 Ta 3.39, 4 Cr 3.57

As for the formation energy (no corrections): 15.60 eV per formula unit. The total moment comes out at 0.00 μB per formula unit. The volume is 115 Å³/cell.

# 8
Density functional theory data (PBE) for an optimized crystal structure of RbMnPt.

a b c (Å): 3.7087 4.2491 11.5691
angles (deg): 94.30 90.04 90.02
Closest atoms and distances in Å follow each position.
Element x y z (fractional)
Rb  0.2498  0.1935  0.2945  4 Pt 3.49-3.50, 3 Mn 3.68-3.80, 2 Rb 3.71
Rb  0.7502  0.8065  0.7055  4 Pt 3.49-3.50, 3 Mn 3.68-3.80, 2 Rb 3.71
Mn  0.2500  0.8502  0.9926  2 Mn 2.25, 3 Pt 2.40-2.51
Mn  0.7500  0.1498  0.0074  2 Mn 2.25, 3 Pt 2.40-2.51
Pt  0.2500  0.3441  0.8849  4 Mn 2.40-2.52
Pt  0.7500  0.6559  0.1151  4 Mn 2.40-2.52

The excess energy over the best structure of this formula in the dataset comes out at 299 meV per atom. The total moment comes out at 1.03 μB per formula unit. The volume is 182 Å³/cell.

# 9
Density functional theory data (PBE) for an optimized crystal structure of Ba3AgRh.

a b c (Å): 8.8895 4.6636 9.8778
angles (deg): 90.00 98.35 90.00
Closest atoms and distances in Å follow each position.
Element x y z (fractional)
Ba  0.0750  0.2500  0.3339  3 Rh 3.20-3.21
Ba  0.2688  0.2500  0.9540  1 Rh 2.90
Ba  0.3818  0.7500  0.6190  2 Rh 3.06
Ba  0.6182  0.2500  0.3810  2 Rh 3.06
Ba  0.7312  0.7500  0.0460  1 Rh 2.90
Ba  0.9250  0.7500  0.6661  3 Rh 3.20-3.21
Ag  0.3585  0.7500  0.2255  7 Ba 3.48-3.86
Ag  0.6415  0.2500  0.7745  7 Ba 3.48-3.86
Rh  0.1706  0.2500  0.6605  6 Ba 2.90-3.21
Rh  0.8294  0.7500  0.3395  6 Ba 2.90-3.21

The excess energy over the best structure of this formula in the dataset comes out at 0 meV per atom. The total moment comes out at 0.00 μB per formula unit. The volume is 405 Å³/cell.

# 10
Density functional theory data (PBE) for an optimized crystal structure of Nd2HoTm.

a b c (Å): 5.1126 5.1126 5.0112
angles (deg): 90.00 90.00 90.00
Closest atoms and distances in Å follow each position.
Element x y z (fractional)
Nd  0.0000  0.5000  0.0000  4 Ho 3.58, 4 Tm 3.58, 4 Nd 3.62
Nd  0.5000  0.0000  0.0000  4 Ho 3.58, 4 Tm 3.58, 4 Nd 3.62
Ho  0.0000  0.0000  0.5000  8 Nd 3.58, 4 Tm 3.62
Tm  0.5000  0.5000  0.5000  8 Nd 3.58, 4 Ho 3.62

The excess energy over the best structure of this formula in the dataset comes out at 6 meV per atom. The total moment comes out at 0.00 μB per formula unit. The volume is 131 Å³/cell.

# 11
Density functional theory data (PBE) for an optimized crystal structure of BaCr2Co.

a b c (Å): 3.2605 3.2605 7.3372
angles (deg): 90.00 90.00 90.00
Closest atoms and distances in Å follow each position.
Element x y z (fractional)
Ba  0.0000  0.0000  0.0000  4 Ba 3.26, 8 Cr 3.56
Cr  0.5000  0.5000  0.3695  1 Cr 1.92
Cr  0.5000  0.5000  0.6305  1 Cr 1.92
Co  0.0000  0.0000  0.5000  8 Cr 2.50

The excess energy over the best structure of this formula in the dataset comes out at 234 meV per atom. The total moment comes out at 2.00 μB per formula unit. The volume is 78 Å³/cell.

# 12
Density functional theory data (PBE) for an optimized crystal structure of Mg2PbSe.

a b c (Å): 3.6785 3.6291 7.6746
angles (deg): 90.00 96.27 90.00
Closest atoms and distances in Å follow each position.
Element x y z (fractional)
Mg  0.1412  0.0000  0.2739  2 Se 2.60
Mg  0.8588  0.0000  0.7261  2 Se 2.60
Pb  0.5000  0.5000  0.0000  8 Mg 3.17-3.49
Se  0.0000  0.5000  0.5000  4 Mg 2.60

As for the formation energy (no corrections): -1.57 eV per formula unit. The excess energy over the best structure of this formula in the dataset comes out at 214 meV per atom. The total moment comes out at 0.00 μB per formula unit. The volume is 102 Å³/cell.

Q: Which of these has the lowest volume?
A: TiAlRe2

Repeat the fourth record exactly.
Density functional theory data (PBE) for an optimized crystal structure of Tb4YGa5.

a b c (Å): 3.5813 3.5813 17.9593
angles (deg): 90.00 90.00 90.00
Closest atoms and distances in Å follow each position.
Element x y z (fractional)
Tb  0.0000  0.0000  0.1000  8 Ga 3.10
Tb  0.0000  0.0000  0.3002  8 Ga 3.11
Tb  0.0000  0.0000  0.6998  8 Ga 3.11
Tb  0.0000  0.0000  0.9000  8 Ga 3.10
Y  0.0000  0.0000  0.5000  8 Ga 3.10
Ga  0.5000  0.5000  0.0000  8 Tb 3.10
Ga  0.5000  0.5000  0.2000  8 Tb 3.10-3.11
Ga  0.5000  0.5000  0.4004  4 Y 3.10, 4 Tb 3.11
Ga  0.5000  0.5000  0.5996  4 Y 3.10, 4 Tb 3.11
Ga  0.5000  0.5000  0.8000  8 Tb 3.10-3.11

The total energy is -4.601 eV per atom. The total moment comes out at 0.00 μB per formula unit. The volume is 230 Å³/cell.

Q: Look up the total moment of the fourth one.
A: 0.00 μB per formula unit

Q: Number 4 is which compound?
A: Tb4YGa5